Material: CoIrPt2F
Method: DFT, PBE with a Hubbard U
State: relaxed Values from VASP.

Computed properties:
The value obtained for the density is 11698 kg/m3. The total magnetization comes out at 4.6 μB/cell. The energy is -21.422 eV per cell.

Geometry as Quantum ESPRESSO input:
```
&SYSTEM
  ibrav = 0, nat = 5, ntyp = 4
/
ATOMIC_SPECIES
Ir 192.22 Ir.upf
Co 58.93 Co.upf
Pt 195.08 Pt.upf
F 19.00 F.upf
ATOMIC_POSITIONS angstrom
Ir -1.010 -2.006 0.305
Co 0.000 0.000 0.000
Pt -1.578 0.992 1.303
Pt -1.286 0.368 -1.838
F -3.874 -0.645 -0.231
CELL_PARAMETERS angstrom
-2.573 0.736 -3.677
-2.019 -4.011 0.610
-3.155 1.984 2.605
```